Record 1
4
Lattice="4.072 0.000 0.000 0.000 4.072 0.000 0.000 0.000 4.072" Properties=species:S:1:pos:R:3 comment="TaTi3 GGA-PBEsol optimized geometry" final_energy_ev_per_fu=-37.10 m_tot_mub_per_cell=0.0 ef_ev_per_fu=0.42 spacegroup="Pm-3m (221)" pbc="T T T"
Ti 2.036 2.036 0.000
Ti 0.000 2.036 2.036
Ti 2.036 0.000 2.036
Ta 0.000 0.000 0.000


Record 2
4
Lattice="-1.078 -2.211 -3.826 -1.088 -4.414 0.154 -4.293 -1.311 -0.736" Properties=species:S:1:pos:R:3 comment="TaTi3 GGA-PBEsol optimized geometry" final_energy_ev_per_fu=-37.12 m_tot_mub_per_cell=0.0 ef_ev_per_fu=0.40 spacegroup="Fm-3m (225)" pbc="T T T"
Ta -3.229 -3.968 -2.204
Ti 0.000 0.000 0.000
Ti -4.844 -5.952 -3.306
Ti -1.615 -1.984 -1.102


Record 3
5
Lattice="-0.576 4.679 -1.624 -3.460 -1.550 -3.238 -3.543 0.753 3.426" Properties=species:S:1:pos:R:3 comment="Ta3TiTl GGA-PBEsol optimized geometry" final_energy_ev_per_fu=-36.64 m_tot_mub_per_cell=0.6 ef_ev_per_fu=11.97 spacegroup="Pm-3m (221)" pbc="T T T"
Ta -1.730 -0.775 -1.619
Ta -1.772 0.377 1.713
Ta -0.288 2.339 -0.812
Tl 0.000 0.000 0.000
Ti -3.790 1.941 -0.718


Record 4
4
Lattice="4.494 0.000 0.000 2.247 3.892 0.000 2.247 1.297 3.669" Properties=species:S:1:pos:R:3 comment="Ta2TiV GGA-PBEsol optimized geometry" final_energy_ev_per_fu=-42.75 m_tot_mub_per_cell=0.0 ef_ev_per_fu=0.31 spacegroup="Fm-3m (225)" pbc="T T T"
Ta 6.740 3.892 2.752
Ta 2.247 1.297 0.917
V 0.000 0.000 0.000
Ti 4.494 2.594 1.835


Record 5
4
Lattice="4.499 0.000 0.000 2.249 3.896 0.000 2.249 1.299 3.673" Properties=species:S:1:pos:R:3 comment="TaTi2W GGA-PBEsol optimized geometry" final_energy_ev_per_fu=-42.59 m_tot_mub_per_cell=0.0 ef_ev_per_fu=0.41 spacegroup="Fm-3m (225)" pbc="T T T"
Ta 0.000 0.000 0.000
Ti 2.249 1.299 0.918
Ti 6.748 3.896 2.755
W 4.499 2.597 1.837


Record 6
5
Lattice="4.707 0.000 0.000 0.000 4.707 0.000 0.000 0.000 4.707" Properties=species:S:1:pos:R:3 comment="TaTiW3 GGA-PBEsol optimized geometry" final_energy_ev_per_fu=-51.16 m_tot_mub_per_cell=0.1 ef_ev_per_fu=11.14 spacegroup="Pm-3m (221)" pbc="T T T"
Ta 0.000 0.000 0.000
Ti 2.354 2.354 2.354
W 0.000 2.354 0.000
W 2.354 0.000 0.000
W 0.000 0.000 2.354


Values for DOS at the Fermi energy, states/eV per atom, ordered as above
1.44, 2.09, 1.78, 1.85, 1.85, 1.92